[1]
First-principles (PBE) data for crystalline Ho6Sb5Se at its relaxed geometry, as listed in Alexandria via LeMat-Bulk.

Uncorrected energy = -5.5278 eV/atom
D(E_F) = 0.235 states/eV/atom
Total moment = 0.00 μB per cell
Space group = C2/m (12)
Raw formation energy = -1.23 eV per atom

Unit cell a=7.486 b=7.489 c=7.482 alpha=59.97 beta=80.39 gamma=70.51
Sites, in units of the cell vectors:
Sb  0.500  0.169  0.662
Sb  0.000  0.334  0.332
Sb  0.500  0.500  0.000
Sb  0.000  0.666  0.668
Sb  0.500  0.831  0.338
Ho  0.754  0.082  0.328
Ho  0.246  0.590  0.328
Ho  0.250  0.245  0.000
Ho  0.750  0.755  0.000
Ho  0.754  0.410  0.672
Ho  0.246  0.918  0.672
Se  0.000  0.000  0.000


[2]
First-principles (PBE) data for crystalline NaLi2V at its relaxed geometry, as listed in Alexandria via LeMat-Bulk.

Uncorrected energy = -2.9117 eV/atom
Energy relative to the elements = 0.65 eV per atom
D(E_F) = 1.669 states/eV/atom
Total moment = 4.44 μB per cell
Space group = Fm-3m (225)
ΔE to the lowest computed polymorph = 0.000 eV per formula unit

Unit cell a=4.972 b=4.972 c=4.972 alpha=60.00 beta=60.00 gamma=60.00
Last column: magnetic moment on the atom in μB.
Sites, in units of the cell vectors:
Na  0.000  0.000  0.000  0.01
V  0.500  0.500  0.500  3.08
Li  0.250  0.250  0.250  0.05
Li  0.750  0.750  0.750  0.05


[3]
First-principles (PBE) data for crystalline La5PrHo3 at its relaxed geometry, as listed in Alexandria via LeMat-Bulk.

Uncorrected energy = -4.5293 eV/atom
Energy relative to the elements = 0.27 eV per atom
D(E_F) = 1.851 states/eV/atom
Total moment = 0.00 μB per cell
Space group = I4/mcm (140)
ΔE to the lowest computed polymorph = 0.196 eV per formula unit

Unit cell a=8.781 b=8.781 c=10.349 alpha=115.10 beta=115.10 gamma=90.00
Sites, in units of the cell vectors:
La  0.056  0.556  0.721
La  0.665  0.165  0.721
La  0.165  0.056  0.721
La  0.556  0.665  0.721
La  0.944  0.444  0.279
La  0.335  0.835  0.279
La  0.835  0.944  0.279
La  0.444  0.335  0.279
La  0.500  0.500  0.000
La  0.000  0.000  0.000
Pr  0.750  0.250  0.500
Pr  0.250  0.750  0.500
Ho  0.621  0.121  0.000
Ho  0.379  0.879  0.000
Ho  0.879  0.621  0.000
Ho  0.121  0.379  0.000
Ho  0.250  0.250  0.500
Ho  0.750  0.750  0.500


[4]
First-principles (PBE) data for crystalline Cu2MoRh at its relaxed geometry, as listed in Alexandria via LeMat-Bulk.

Uncorrected energy = -6.3923 eV/atom
Energy relative to the elements = 0.20 eV per atom
D(E_F) = 1.184 states/eV/atom
Total moment = 0.32 μB per cell
Space group = R-3m (166)

Unit cell a=8.931 b=8.931 c=8.931 alpha=17.32 beta=17.32 gamma=17.32
Last column: magnetic moment on the atom in μB.
Sites, in units of the cell vectors:
Cu  0.001  0.001  0.001  0.01
Cu  0.499  0.499  0.499  0.01
Mo  0.250  0.250  0.250  -0.02
Rh  0.750  0.750  0.750  0.34


[5]
First-principles (PBE) data for crystalline PaNbIr2 at its relaxed geometry, as listed in Alexandria via LeMat-Bulk.

Uncorrected energy = -9.8744 eV/atom
Energy relative to the elements = -0.55 eV per atom
D(E_F) = 0.872 states/eV/atom
Total moment = 0.00 μB per cell
Space group = P4/mmm (123)
ΔE to the lowest computed polymorph = 0.000 eV per formula unit

Unit cell a=3.010 b=3.010 c=7.899 alpha=90.00 beta=90.00 gamma=90.00
Sites, in units of the cell vectors:
Nb  0.500  0.500  0.000
Pa  0.500  0.500  0.500
Ir  0.000  0.000  0.769
Ir  0.000  0.000  0.231


[6]
First-principles (PBE) data for crystalline K2SrZn3F12 at its relaxed geometry, as listed in Alexandria via LeMat-Bulk.

Uncorrected energy = -4.1356 eV/atom
D(E_F) = 0.318 states/eV/atom
Total moment = 2.11 μB per cell
Space group = R-3m (166)
Raw formation energy = -2.46 eV per atom

Unit cell a=7.103 b=7.103 c=7.103 alpha=64.73 beta=64.73 gamma=64.73
Last column: magnetic moment on the atom in μB.
Sites, in units of the cell vectors:
K  0.615  0.615  0.615  0.00
K  0.385  0.385  0.385  0.00
Sr  0.000  0.000  0.000  0.00
Zn  0.500  0.000  0.000  0.18
Zn  0.000  0.500  0.000  0.18
Zn  0.000  0.000  0.500  0.18
F  0.273  0.273  0.891  0.10
F  0.869  0.869  0.418  0.14
F  0.418  0.869  0.869  0.14
F  0.891  0.273  0.273  0.10
F  0.869  0.418  0.869  0.14
F  0.273  0.891  0.273  0.10
F  0.727  0.727  0.109  0.10
F  0.131  0.131  0.582  0.14
F  0.582  0.131  0.131  0.14
F  0.109  0.727  0.727  0.10
F  0.131  0.582  0.131  0.14
F  0.727  0.109  0.727  0.10


[7]
First-principles (PBE) data for crystalline SrAlHg2 at its relaxed geometry, as listed in Alexandria via LeMat-Bulk.

Uncorrected energy = -1.6801 eV/atom
Energy relative to the elements = -0.17 eV per atom
D(E_F) = 0.281 states/eV/atom
Total moment = 0.00 μB per cell
Space group = P4mm (99)

Unit cell a=3.734 b=3.733 c=7.526 alpha=90.00 beta=90.00 gamma=90.00
Sites, in units of the cell vectors:
Sr  0.000  0.000  0.500
Hg  0.000  0.000  0.967
Hg  0.500  0.500  0.221
Al  0.500  0.500  0.812


[8]
First-principles (PBE) data for crystalline Zr4Cd5Ag at its relaxed geometry, as listed in Alexandria via LeMat-Bulk.

Uncorrected energy = -4.2578 eV/atom
Energy relative to the elements = -0.10 eV per atom
D(E_F) = 1.078 states/eV/atom
Total moment = 0.84 μB per cell
Space group = P4/mmm (123)

Unit cell a=3.147 b=3.147 c=21.447 alpha=90.00 beta=90.00 gamma=90.00
Last column: magnetic moment on the atom in μB.
Sites, in units of the cell vectors:
Zr  0.000  0.000  0.196  0.12
Zr  0.000  0.000  0.398  0.14
Zr  0.000  0.000  0.602  0.14
Zr  0.000  0.000  0.804  0.12
Cd  0.500  0.500  0.092  0.00
Cd  0.500  0.500  0.296  0.01
Cd  0.500  0.500  0.500  0.01
Cd  0.500  0.500  0.704  0.01
Cd  0.500  0.500  0.908  0.00
Ag  0.000  0.000  0.000  0.00


[9]
First-principles (PBE) data for crystalline InPSe2 at its relaxed geometry, as listed in Alexandria via LeMat-Bulk.

Uncorrected energy = -3.5538 eV/atom
D(E_F) = 0.627 states/eV/atom
Total moment = 0.00 μB per cell
Space group = Cmm2 (35)
ΔE to the lowest computed polymorph = 1.226 eV per formula unit
Raw formation energy = 0.23 eV per atom

Unit cell a=4.167 b=4.167 c=8.653 alpha=90.00 beta=90.00 gamma=131.04
Sites, in units of the cell vectors:
In  0.000  0.000  0.492
P  0.500  0.500  0.237
Se  0.000  0.000  0.056
Se  0.500  0.500  0.715


[10]
First-principles (PBE) data for crystalline Cd3HgSb3 at its relaxed geometry, as listed in Alexandria via LeMat-Bulk.

Uncorrected energy = -1.9743 eV/atom
D(E_F) = 1.384 states/eV/atom
Total moment = 0.00 μB per cell
Space group = Pm-3n (223)
Raw formation energy = 0.23 eV per atom

Unit cell a=8.046 b=8.046 c=8.046 alpha=90.00 beta=90.00 gamma=90.00
Sites, in units of the cell vectors:
Sb  0.000  0.250  0.500
Sb  0.000  0.750  0.500
Sb  0.500  0.000  0.750
Sb  0.750  0.500  0.000
Sb  0.500  0.000  0.250
Sb  0.250  0.500  0.000
Hg  0.500  0.500  0.500
Hg  0.000  0.000  0.000
Cd  0.250  0.000  0.500
Cd  0.000  0.500  0.250
Cd  0.500  0.750  0.000
Cd  0.750  0.000  0.500
Cd  0.000  0.500  0.750
Cd  0.500  0.250  0.000


[11]
First-principles (PBE) data for crystalline BiPtWC2 at its relaxed geometry, as listed in Alexandria via LeMat-Bulk.

Uncorrected energy = -5.0017 eV/atom
Energy relative to the elements = 3.26 eV per atom
D(E_F) = 1.621 states/eV/atom
Total moment = 0.00 μB per cell
Space group = P4/mmm (123)

Unit cell a=4.259 b=5.188 c=4.259 alpha=90.00 beta=90.00 gamma=90.00
Sites, in units of the cell vectors:
W  0.500  0.500  0.500
C  0.000  0.000  0.500
C  0.500  0.000  0.000
Bi  0.000  0.000  0.000
Pt  0.000  0.500  0.000


[12]
First-principles (PBE) data for crystalline AcCdIn2Au2 at its relaxed geometry, as listed in Alexandria via LeMat-Bulk.

Uncorrected energy = -3.0457 eV/atom
Energy relative to the elements = -0.20 eV per atom
D(E_F) = 0.407 states/eV/atom
Total moment = 0.00 μB per cell
Space group = I4/mmm (139)

Unit cell a=5.508 b=5.508 c=7.050 alpha=112.99 beta=112.99 gamma=90.00
Sites, in units of the cell vectors:
Ac  0.500  0.500  0.000
Cd  0.000  0.000  0.000
In  0.250  0.750  0.500
In  0.750  0.250  0.500
Au  0.768  0.768  0.536
Au  0.232  0.232  0.464


[13]
First-principles (PBE) data for crystalline CsUAuSe2 at its relaxed geometry, as listed in Alexandria via LeMat-Bulk.

Uncorrected energy = -5.2549 eV/atom
D(E_F) = 0.638 states/eV/atom
Total moment = 3.96 μB per cell
Space group = Pmmm (47)
Raw formation energy = -0.78 eV per atom

Unit cell a=5.055 b=8.230 c=7.711 alpha=90.01 beta=90.00 gamma=90.00
Last column: magnetic moment on the atom in μB.
Sites, in units of the cell vectors:
Cs  0.000  0.500  0.750  0.00
Cs  0.000  0.500  0.250  0.00
U  0.500  0.000  0.250  2.15
U  0.500  0.000  0.750  2.15
Au  0.000  0.000  0.000  -0.04
Au  0.000  0.000  0.500  -0.04
Se  0.500  0.750  0.000  -0.10
Se  0.500  0.250  0.500  -0.10
Se  0.500  0.750  0.500  -0.10
Se  0.500  0.250  0.000  -0.10


[14]
First-principles (PBE) data for crystalline La2Pm3Pr6Tl at its relaxed geometry, as listed in Alexandria via LeMat-Bulk.

Uncorrected energy = -4.6354 eV/atom
Energy relative to the elements = -0.04 eV per atom
D(E_F) = 1.353 states/eV/atom
Total moment = 0.00 μB per cell
Space group = C2/m (12)

Unit cell a=6.322 b=6.322 c=12.159 alpha=95.05 beta=95.05 gamma=120.10
Sites, in units of the cell vectors:
La  0.334  0.666  0.000
La  0.666  0.334  0.000
Pm  0.168  0.832  0.500
Pm  0.832  0.168  0.500
Pm  0.500  0.500  0.500
Pr  0.918  0.593  0.751
Pr  0.758  0.758  0.251
Pr  0.082  0.407  0.249
Pr  0.593  0.918  0.751
Pr  0.242  0.242  0.749
Pr  0.407  0.082  0.249
Tl  0.000  0.000  0.000


[15]
First-principles (PBE) data for crystalline Hf2NiI at its relaxed geometry, as listed in Alexandria via LeMat-Bulk.

Uncorrected energy = -6.5771 eV/atom
D(E_F) = 0.814 states/eV/atom
Total moment = 0.00 μB per cell
Space group = Fm-3m (225)
ΔE to the lowest computed polymorph = 0.000 eV per formula unit
Raw formation energy = 0.23 eV per atom

Unit cell a=4.803 b=4.803 c=4.803 alpha=60.00 beta=60.00 gamma=60.00
Sites, in units of the cell vectors:
I  0.500  0.500  0.500
Ni  0.000  0.000  0.000
Hf  0.250  0.250  0.250
Hf  0.750  0.750  0.750


[16]
First-principles (PBE) data for crystalline TaFeOs2 at its relaxed geometry, as listed in Alexandria via LeMat-Bulk.

Uncorrected energy = -10.6296 eV/atom
Energy relative to the elements = 0.06 eV per atom
D(E_F) = 1.132 states/eV/atom
Total moment = 0.87 μB per cell
Space group = P4mm (99)

Unit cell a=2.743 b=2.743 c=7.664 alpha=90.00 beta=90.00 gamma=90.00
Last column: magnetic moment on the atom in μB.
Sites, in units of the cell vectors:
Fe  0.500  0.500  0.766  0.99
Os  0.000  0.000  0.989  -0.05
Os  0.500  0.500  0.232  -0.04
Ta  0.000  0.000  0.513  -0.03


[17]
First-principles (PBE) data for crystalline ZrGaPS2 at its relaxed geometry, as listed in Alexandria via LeMat-Bulk.

Uncorrected energy = -5.3253 eV/atom
D(E_F) = 0.898 states/eV/atom
Total moment = 0.00 μB per cell
Space group = P4/mmm (123)
ΔE to the lowest computed polymorph = 0.000 eV per formula unit
Raw formation energy = -0.28 eV per atom

Unit cell a=4.993 b=4.993 c=5.130 alpha=90.00 beta=90.00 gamma=90.00
Sites, in units of the cell vectors:
P  0.000  0.000  0.500
S  0.000  0.500  0.000
S  0.500  0.000  0.000
Ga  0.500  0.500  0.500
Zr  0.000  0.000  0.000


[18]
First-principles (PBE) data for crystalline ErSiSe at its relaxed geometry, as listed in Alexandria via LeMat-Bulk.

Uncorrected energy = -5.5215 eV/atom
D(E_F) = 0.103 states/eV/atom
Total moment = 0.00 μB per cell
Space group = R-3m (166)
Raw formation energy = -1.03 eV per atom

Unit cell a=3.990 b=3.990 c=11.800 alpha=80.27 beta=80.27 gamma=60.00
Sites, in units of the cell vectors:
Er  0.569  0.569  0.294
Er  0.431  0.431  0.706
Se  0.277  0.277  0.168
Se  0.723  0.723  0.832
Si  0.844  0.844  0.469
Si  0.156  0.156  0.531